A relaxed CoNiCl crystal. Source: the Alexandria database, functional GGA-PBE.

a b c (Å): 4.023 4.023 4.023
angles (deg): 60.00 60.00 60.00
Last column: magnetic moment on the atom in μB.
Sites, in units of the cell vectors:
Ni 0.750 0.750 0.750  0.62
Co 0.500 0.500 0.500  1.83
Cl 0.000 0.000 0.000  0.03

Computed properties:
final energy: -4.18 eV/atom
calculated volume: 15.35 Å³ per atom
E above lowest polymorph: 39.9 kJ/mol of atoms
theoretical density: 5.521 g/cm³
D(E_F): 1.452 states/eV per atom
space-group type: No. 216